Below is a geometry-optimized BeRe3Mo structure, with properties calculated at the PBE level.

## Properties
The total energy comes out at -7.843 eV/atom. The space-group type is Pm-3m (221). As for the volume: 102.84 Å³/cell. Its energy above the most stable polymorph in this dataset is 1.941 eV/atom. As for the total magnetization: 0.323 μB per atom.

Cell lengths 4.685, 4.685, 4.685 Å; angles 90.00, 90.00, 90.00 degrees
Element x y z (fractional)
Be: 0.000 0.000 0.000
Re: 0.000 0.500 0.500
Re: 0.500 0.000 0.500
Re: 0.500 0.500 0.000
Mo: 0.500 0.500 0.500